# LiTm2Si3Ni12 GGA-PBE optimized geometry
# ΔE_f (raw) = -0.243 eV per atom
data_LiTm2Si3Ni12
_cell_length_a 8.3062
_cell_length_b 8.3062
_cell_length_c 11.7926
_cell_angle_alpha 90.00
_cell_angle_beta 90.00
_cell_angle_gamma 120.00
_space_group_name_H-M_alt 'R -3 m'
_space_group_IT_number 166
_space_group_name_Hall '-R 3 2"'
loop_
_atom_site_label
_atom_site_type_symbol
_atom_site_fract_x
_atom_site_fract_y
_atom_site_fract_z
Li1 Li 0.0000 0.0000 0.0000
Tm1 Tm 0.0000 0.0000 0.3479
Si1 Si 0.0000 0.5000 0.5000
Ni1 Ni 0.0116 0.5058 0.6928
Ni2 Ni 0.0126 0.5063 0.8913

# Cd4Pt GGA-PBE optimized geometry
# Formation enthalpy at 0 K = -0.141 eV per atom
data_Cd4Pt
_cell_length_a 6.7784
_cell_length_b 6.7784
_cell_length_c 4.2668
_cell_angle_alpha 90.00
_cell_angle_beta 90.00
_cell_angle_gamma 90.00
_space_group_name_H-M_alt 'I 4/m'
_space_group_IT_number 87
_space_group_name_Hall '-I 4'
loop_
_atom_site_label
_atom_site_type_symbol
_atom_site_fract_x
_atom_site_fract_y
_atom_site_fract_z
Cd1 Cd 0.1053 0.7069 0.0000
Pt1 Pt 0.0000 0.0000 0.5000

# RbLiS GGA-PBE optimized geometry
# ΔE_f (raw) = -1.125 eV per atom
data_RbLiS
_cell_length_a 4.2320
_cell_length_b 4.2320
_cell_length_c 4.9636
_cell_angle_alpha 90.00
_cell_angle_beta 90.00
_cell_angle_gamma 120.00
_space_group_name_H-M_alt 'P -6 m 2'
_space_group_IT_number 187
_space_group_name_Hall 'P -6 2'
loop_
_atom_site_label
_atom_site_type_symbol
_atom_site_fract_x
_atom_site_fract_y
_atom_site_fract_z
Rb1 Rb 0.0000 0.0000 0.0000
Li1 Li 0.6667 0.3333 0.5000
S1 S 0.3333 0.6667 0.5000

# EuNi4Au GGA-PBE optimized geometry
# Formation enthalpy at 0 K = -0.139 eV per atom
data_EuNi4Au
_cell_length_a 7.0771
_cell_length_b 7.0771
_cell_length_c 7.0771
_cell_angle_alpha 90.00
_cell_angle_beta 90.00
_cell_angle_gamma 90.00
_space_group_name_H-M_alt 'F -4 3 m'
_space_group_IT_number 216
_space_group_name_Hall 'F -4 2 3'
loop_
_atom_site_label
_atom_site_type_symbol
_atom_site_fract_x
_atom_site_fract_y
_atom_site_fract_z
Eu1 Eu 0.0000 0.0000 0.0000
Ni1 Ni 0.1243 0.1243 0.6243
Au1 Au 0.2500 0.2500 0.2500

# PmGe4Pd3 GGA-PBE optimized geometry
# Formation enthalpy at 0 K = -0.490 eV per atom
data_PmGe4Pd3
_cell_length_a 4.6140
_cell_length_b 4.6140
_cell_length_c 7.2103
_cell_angle_alpha 90.00
_cell_angle_beta 90.00
_cell_angle_gamma 90.00
_space_group_name_H-M_alt 'P 4/m m m'
_space_group_IT_number 123
_space_group_name_Hall '-P 4 2'
loop_
_atom_site_label
_atom_site_type_symbol
_atom_site_fract_x
_atom_site_fract_y
_atom_site_fract_z
Pm1 Pm 0.0000 0.0000 0.0000
Ge1 Ge 0.0000 0.5000 0.3155
Pd1 Pd 0.0000 0.0000 0.5000
Pd2 Pd 0.5000 0.5000 0.1839

# NdMg2In GGA-PBE optimized geometry
# Formation enthalpy at 0 K = -0.289 eV per atom
# Offset from the most stable computed form = 0 meV/atom
data_NdMg2In
_cell_length_a 4.6158
_cell_length_b 4.6158
_cell_length_c 4.8970
_cell_angle_alpha 90.00
_cell_angle_beta 90.00
_cell_angle_gamma 90.00
_space_group_name_H-M_alt 'P 4/m m m'
_space_group_IT_number 123
_space_group_name_Hall '-P 4 2'
loop_
_atom_site_label
_atom_site_type_symbol
_atom_site_fract_x
_atom_site_fract_y
_atom_site_fract_z
Nd1 Nd 0.0000 0.0000 0.0000
Mg1 Mg 0.0000 0.5000 0.5000
In1 In 0.5000 0.5000 0.0000

# PuGe3Rh5 GGA-PBE optimized geometry
# Formation enthalpy at 0 K = -0.437 eV per atom
data_PuGe3Rh5
_cell_length_a 2.9819
_cell_length_b 13.5573
_cell_length_c 14.5056
_cell_angle_alpha 90.00
_cell_angle_beta 90.00
_cell_angle_gamma 90.00
_space_group_name_H-M_alt 'C m c m'
_space_group_IT_number 63
_space_group_name_Hall '-C 2c 2'
loop_
_atom_site_label
_atom_site_type_symbol
_atom_site_fract_x
_atom_site_fract_y
_atom_site_fract_z
Pu1 Pu 0.0000 0.1567 0.2500
Ge1 Ge 0.0000 0.1312 0.7500
Ge2 Ge 0.0000 0.3618 0.5516
Rh1 Rh 0.0000 0.0000 0.0000
Rh2 Rh 0.0000 0.1892 0.5856
Rh3 Rh 0.0000 0.4866 0.1563

# Sr2PdI GGA-PBE optimized geometry
# Offset from the most stable computed form = 0 meV/atom
# ΔE_f (raw) = -0.952 eV per atom
data_Sr2PdI
_cell_length_a 4.4578
_cell_length_b 4.4578
_cell_length_c 25.0256
_cell_angle_alpha 90.00
_cell_angle_beta 90.00
_cell_angle_gamma 120.00
_space_group_name_H-M_alt 'R -3 m'
_space_group_IT_number 166
_space_group_name_Hall '-R 3 2"'
loop_
_atom_site_label
_atom_site_type_symbol
_atom_site_fract_x
_atom_site_fract_y
_atom_site_fract_z
Sr1 Sr 0.0000 0.0000 0.2333
Pd1 Pd 0.0000 0.0000 0.5000
I1 I 0.0000 0.0000 0.0000

# B7C3 GGA-PBE optimized geometry
# Formation enthalpy at 0 K = 0.569 eV per atom
# Offset from the most stable computed form = 277 meV/atom
data_B7C3
_cell_length_a 2.6222
_cell_length_b 2.6222
_cell_length_c 35.9856
_cell_angle_alpha 90.00
_cell_angle_beta 90.00
_cell_angle_gamma 120.00
_space_group_name_H-M_alt 'R 3 m'
_space_group_IT_number 160
_space_group_name_Hall 'R 3 -2"'
loop_
_atom_site_label
_atom_site_type_symbol
_atom_site_fract_x
_atom_site_fract_y
_atom_site_fract_z
B1 B 0.0000 0.0000 0.0000
B2 B 0.0000 0.0000 0.0472
B3 B 0.0000 0.0000 0.2026
B4 B 0.0000 0.0000 0.4058
B5 B 0.0000 0.0000 0.4565
B6 B 0.0000 0.0000 0.6387
B7 B 0.0000 0.0000 0.8425
C1 C 0.0000 0.0000 0.2470
C2 C 0.0000 0.0000 0.5946
C3 C 0.0000 0.0000 0.7982

# CsLiAsAu2 GGA-PBE optimized geometry
# Formation enthalpy at 0 K = -0.273 eV per atom
data_CsLiAsAu2
_cell_length_a 5.2906
_cell_length_b 5.2906
_cell_length_c 5.0111
_cell_angle_alpha 90.00
_cell_angle_beta 90.00
_cell_angle_gamma 90.00
_space_group_name_H-M_alt 'P 4/m m m'
_space_group_IT_number 123
_space_group_name_Hall '-P 4 2'
loop_
_atom_site_label
_atom_site_type_symbol
_atom_site_fract_x
_atom_site_fract_y
_atom_site_fract_z
Cs1 Cs 0.0000 0.0000 0.0000
Li1 Li 0.5000 0.5000 0.0000
As1 As 0.5000 0.5000 0.5000
Au1 Au 0.0000 0.5000 0.5000

# EuCuHg GGA-PBE optimized geometry
# Formation enthalpy at 0 K = -0.178 eV per atom
data_EuCuHg
_cell_length_a 6.7890
_cell_length_b 6.7890
_cell_length_c 6.7890
_cell_angle_alpha 90.00
_cell_angle_beta 90.00
_cell_angle_gamma 90.00
_space_group_name_H-M_alt 'F -4 3 m'
_space_group_IT_number 216
_space_group_name_Hall 'F -4 2 3'
loop_
_atom_site_label
_atom_site_type_symbol
_atom_site_fract_x
_atom_site_fract_y
_atom_site_fract_z
Eu1 Eu 0.0000 0.0000 0.0000
Cu1 Cu 0.2500 0.2500 0.7500
Hg1 Hg 0.0000 0.0000 0.5000

# AlCrAs GGA-PBE optimized geometry
# Formation enthalpy at 0 K = 0.415 eV per atom
# Offset from the most stable computed form = 579 meV/atom
data_AlCrAs
_cell_length_a 5.7979
_cell_length_b 5.7979
_cell_length_c 5.7979
_cell_angle_alpha 90.00
_cell_angle_beta 90.00
_cell_angle_gamma 90.00
_space_group_name_H-M_alt 'F -4 3 m'
_space_group_IT_number 216
_space_group_name_Hall 'F -4 2 3'
loop_
_atom_site_label
_atom_site_type_symbol
_atom_site_fract_x
_atom_site_fract_y
_atom_site_fract_z
Al1 Al 0.0000 0.0000 0.0000
Cr1 Cr 0.0000 0.0000 0.5000
As1 As 0.2500 0.2500 0.7500